The following is a PBE with a Hubbard U calculation of a relaxed VBrO2 crystal, from Alexandria via LeMat-Bulk.

Properties
Its space group is No. 225. The calculation puts the total energy at -17.92 eV/f.u. As for the offset from the most stable computed form: 1.466 eV/atom.

Cell lengths 5.7883, 5.7883, 5.7883 Å; angles 90.00, 90.00, 90.00 degrees
Closest atoms and distances in Å follow each position.
Atoms (fractional coordinates):
1 V 0.0000 0.0000 0.0000  8 O 2.51
2 V 0.0000 0.5000 0.5000  8 O 2.51
3 V 0.5000 0.0000 0.5000  8 O 2.51
4 V 0.5000 0.5000 0.0000  8 O 2.51
5 Br 0.0000 0.0000 0.5000  8 O 2.51
6 Br 0.0000 0.5000 0.0000  8 O 2.51
7 Br 0.5000 0.0000 0.0000  8 O 2.51
8 Br 0.5000 0.5000 0.5000  8 O 2.51
9 O 0.2500 0.2500 0.2500  4 Br 2.51, 4 V 2.51
10 O 0.2500 0.2500 0.7500  4 Br 2.51, 4 V 2.51
11 O 0.2500 0.7500 0.2500  4 Br 2.51, 4 V 2.51
12 O 0.2500 0.7500 0.7500  4 Br 2.51, 4 V 2.51
13 O 0.7500 0.2500 0.2500  4 Br 2.51, 4 V 2.51
14 O 0.7500 0.2500 0.7500  4 Br 2.51, 4 V 2.51
15 O 0.7500 0.7500 0.2500  4 Br 2.51, 4 V 2.51
16 O 0.7500 0.7500 0.7500  4 V 2.51, 4 Br 2.51